(1)
A plane-wave DFT calculation with PBE was carried out for an optimized crystal structure of Sn3HgBr.

Summary:
**Energy relative to the elements, uncorrected**: 441 meV/atom
**Uncorrected energy**: -2.356 eV/atom
**Relative energy among the computed polymorphs**: 0.000 eV per formula unit

```
Sn3HgBr
1.0
5.683 0.000 0.000
0.000 5.683 0.000
0.000 0.000 5.683
Sn Hg Br
3 1 1
Direct
0.000 0.000 0.500
0.000 0.500 0.000
0.500 0.000 0.000
0.000 0.000 0.000
0.500 0.500 0.500
```

(2)
A plane-wave DFT calculation with PBE was carried out for an optimized crystal structure of Sn2HgBr4.

Summary:
**Energy relative to the elements, uncorrected**: -628 meV/atom
**Uncorrected energy**: -2.771 eV/atom

```
Sn2HgBr4
1.0
7.610 0.000 0.000
0.000 4.374 0.000
-2.459 0.000 9.611
Sn Hg Br
2 1 4
Direct
0.000 0.000 0.000
0.500 0.500 0.000
0.000 0.500 0.500
0.224 0.500 0.173
0.277 0.000 0.827
0.723 0.000 0.173
0.776 0.500 0.827
```

(3)
A plane-wave DFT calculation with PBE was carried out for an optimized crystal structure of Sn2HgBr6.

Summary:
**Energy relative to the elements, uncorrected**: -640 meV/atom
**Uncorrected energy**: -2.678 eV/atom
**Relative energy among the computed polymorphs**: 0.000 eV per formula unit

```
Sn2HgBr6
1.0
8.116 -2.174 0.000
8.116 2.174 0.000
-1.557 0.000 9.575
Sn Hg Br
2 1 6
Direct
0.151 0.151 0.329
0.849 0.849 0.671
0.500 0.500 0.000
0.130 0.130 0.038
0.230 0.230 0.676
0.493 0.493 0.722
0.507 0.507 0.278
0.770 0.770 0.324
0.870 0.870 0.962
```

(4)
A plane-wave DFT calculation with PBE was carried out for an optimized crystal structure of SnHg2Br6.

Summary:
**Energy relative to the elements, uncorrected**: -530 meV/atom
**Uncorrected energy**: -2.157 eV/atom
**Relative energy among the computed polymorphs**: 0.000 eV per formula unit

```
SnHg2Br6
1.0
7.045 -6.432 0.000
7.045 6.432 0.000
-1.392 0.000 7.409
Sn Hg Br
2 4 12
Direct
0.107 0.893 0.750
0.893 0.107 0.250
0.231 0.398 0.661
0.398 0.231 0.161
0.602 0.769 0.839
0.769 0.602 0.339
0.029 0.211 0.626
0.133 0.625 0.876
0.211 0.029 0.126
0.286 0.466 0.349
0.375 0.867 0.624
0.466 0.286 0.849
0.534 0.714 0.151
0.625 0.133 0.376
0.714 0.534 0.651
0.789 0.971 0.874
0.867 0.375 0.124
0.971 0.789 0.374
```

(5)
A plane-wave DFT calculation with PBE was carried out for an optimized crystal structure of Sn3HgBr.

Summary:
**Energy relative to the elements, uncorrected**: 587 meV/atom
**Uncorrected energy**: -2.210 eV/atom
**Relative energy among the computed polymorphs**: 0.729 eV per formula unit

```
Sn3HgBr
1.0
5.638 0.000 0.000
0.000 5.638 0.000
0.000 0.000 5.638
Sn Hg Br
3 1 1
Direct
0.000 0.000 0.500
0.000 0.500 0.000
0.500 0.000 0.000
0.500 0.500 0.500
0.000 0.000 0.000
```

(6)
A plane-wave DFT calculation with PBE was carried out for an optimized crystal structure of Sn3HgBr12.

Summary:
**Energy relative to the elements, uncorrected**: -609 meV/atom
**Uncorrected energy**: -2.633 eV/atom

```
Sn3HgBr12
1.0
6.766 3.907 11.791
-6.766 3.907 11.791
0.000 -7.813 11.791
Sn Hg Br
6 2 24
Direct
0.013 0.324 0.663
0.163 0.824 0.513
0.324 0.663 0.013
0.513 0.163 0.824
0.663 0.013 0.324
0.824 0.513 0.163
0.110 0.110 0.110
0.610 0.610 0.610
0.015 0.247 0.867
0.026 0.751 0.721
0.048 0.436 0.086
0.086 0.048 0.436
0.171 0.752 0.382
0.221 0.251 0.526
0.247 0.867 0.015
0.251 0.526 0.221
0.252 0.671 0.882
0.367 0.747 0.515
0.382 0.171 0.752
0.436 0.086 0.048
0.515 0.367 0.747
0.526 0.221 0.251
0.548 0.586 0.936
0.586 0.936 0.548
0.671 0.882 0.252
0.721 0.026 0.751
0.747 0.515 0.367
0.751 0.721 0.026
0.752 0.382 0.171
0.867 0.015 0.247
0.882 0.252 0.671
0.936 0.548 0.586
```

(7)
A plane-wave DFT calculation with PBE was carried out for an optimized crystal structure of SnHg2Br.

Summary:
**Energy relative to the elements, uncorrected**: 50 meV/atom
**Uncorrected energy**: -1.519 eV/atom
**Relative energy among the computed polymorphs**: 0.577 eV per formula unit

```
SnHg2Br
1.0
0.000 3.831 3.831
3.831 0.000 3.831
3.831 3.831 0.000
Sn Hg Br
1 2 1
Direct
0.000 0.000 0.000
0.250 0.250 0.250
0.750 0.750 0.750
0.500 0.500 0.500
```

(8)
A plane-wave DFT calculation with PBE was carried out for an optimized crystal structure of SnHg4Br2.

Summary:
**Energy relative to the elements, uncorrected**: -184 meV/atom
**Uncorrected energy**: -1.406 eV/atom

```
SnHg4Br2
1.0
-2.821 2.821 7.811
2.821 -2.821 7.811
2.821 2.821 -7.811
Sn Hg Br
1 4 2
Direct
0.000 0.000 0.000
0.000 0.500 0.500
0.184 0.184 0.000
0.500 0.000 0.500
0.816 0.816 0.000
0.360 0.360 0.000
0.640 0.640 0.000
```